Below is an optimized crystal structure of MgAl2In, with properties calculated at the PBE-GGA level.

Summary:
**Formation energy**: 0.090 eV/atom
**Space-group type**: P4/mmm

a = 3.0122 Å, b = 3.0122 Å, c = 9.1010 Å
α = 90.00°, β = 90.00°, γ = 90.00°
Closest atoms and distances in Å follow each position.
Positions (direct):
1 Mg 0.0000 0.0000 0.0000  8 Al 3.01, 4 Mg 3.01
2 Al 0.5000 0.5000 0.2331  4 Mg 3.01, 4 Al 3.01, 4 In 3.23
3 Al 0.5000 0.5000 0.7669  4 Mg 3.01, 4 Al 3.01, 4 In 3.23
4 In 0.0000 0.0000 0.5000  4 In 3.01, 8 Al 3.23